Record 1
Entry from Alexandria: a relaxed Y3Ga8Ni3 crystal (PBE).

Computed properties:
Uncorrected energy (eV/atom): -4.92
Energy relative to the elements (kJ per mole of atoms): -55
Energy above the lowest structure with this stoichiometry (kJ/mol of formula units): 4
Space-group type: C2/m (12)
Total magnetization (μB per cell): 0.0
V (A^3/atom): 17.35

Lattice parameters (Å, degrees): 4.2585 8.0125 8.0949 68.16 74.75 74.59
Last column: nearest neighbours and their distance in Å.
Fractional coordinates of all 14 atoms:
Y 0.2911 0.7101 0.7076  10 Ga 2.96-3.25, 3 Ni 3.08-3.28
Y 0.7089 0.2899 0.2924  10 Ga 2.96-3.25, 3 Ni 3.08-3.28
Y 0.0000 0.0000 0.0000  8 Ga 3.07-3.17, 4 Ni 3.14
Ga 0.1368 0.1547 0.5716  1 Ni 2.54, 5 Ga 2.64-2.81
Ga 0.8632 0.8453 0.4284  1 Ni 2.54, 5 Ga 2.64-2.81
Ga 0.8475 0.4297 0.8754  3 Ni 2.44-2.57
Ga 0.1525 0.5703 0.1246  3 Ni 2.44-2.57
Ga 0.5069 0.6678 0.3184  3 Ni 2.45-2.65, 1 Ga 2.71
Ga 0.4931 0.3322 0.6816  3 Ni 2.45-2.65, 1 Ga 2.71
Ga 0.3484 0.0312 0.2719  1 Ni 2.40, 2 Ga 2.64
Ga 0.6516 0.9688 0.7281  1 Ni 2.40, 2 Ga 2.64
Ni 0.0000 0.5000 0.5000  8 Ga 2.54-2.80
Ni 0.6511 0.7030 0.9949  5 Ga 2.40-2.57
Ni 0.3489 0.2970 0.0051  5 Ga 2.40-2.57

***

Record 2
Entry from Alexandria: a relaxed ZnReCl2 crystal (PBE).

Computed properties:
Uncorrected energy (eV/atom): -4.08
Energy above the lowest structure with this stoichiometry (kJ/mol of formula units): 114
Space-group type: P4mm (99)
Total magnetization (μB per cell): 0.9
V (A^3/atom): 18.30

Lattice parameters (Å, degrees): 2.9948 2.9948 8.1600 90.00 90.00 90.00
Last column: nearest neighbours and their distance in Å.
Fractional coordinates of all 4 atoms:
Re 0.0000 0.0000 0.5057  4 Cl 2.57, 4 Zn 2.84
Zn 0.5000 0.5000 0.7377  4 Cl 2.64, 4 Re 2.84
Cl 0.0000 0.0000 0.9300  4 Zn 2.64
Cl 0.5000 0.5000 0.3267  4 Re 2.57

***

Record 3
Entry from Alexandria: a relaxed Pm8AgAu2 crystal (PBE).

Computed properties:
Uncorrected energy (eV/atom): -4.63
Energy relative to the elements (kJ per mole of atoms): -31
Space-group type: C2/m (12)
Total magnetization (μB per cell): 0.0
V (A^3/atom): 29.83

Lattice parameters (Å, degrees): 5.2247 7.0515 9.6596 106.06 105.69 90.00
Last column: nearest neighbours and their distance in Å.
Fractional coordinates of all 11 atoms:
Pm 0.4088 0.5329 0.8175  1 Ag 3.24, 2 Au 3.37, 6 Pm 3.52-3.58
Pm 0.6693 0.9876 0.3386  3 Au 2.92-3.19, 1 Ag 3.18
Pm 0.8006 0.6646 0.6011  1 Au 2.96
Pm 0.9736 0.2262 0.9471  1 Au 2.93, 2 Ag 3.17
Pm 0.1994 0.3354 0.3989  1 Au 2.96
Pm 0.3307 0.0124 0.6614  3 Au 2.92-3.19, 1 Ag 3.18
Pm 0.5912 0.4671 0.1825  1 Ag 3.24, 2 Au 3.37, 6 Pm 3.52-3.58
Pm 0.0264 0.7738 0.0529  1 Au 2.93, 2 Ag 3.17
Ag 0.5000 0.0000 0.0000  8 Pm 3.17-3.24
Au 0.8207 0.2625 0.6414  5 Pm 2.92-3.19
Au 0.1793 0.7375 0.3586  5 Pm 2.92-3.19

***

Record 4
Entry from Alexandria: a relaxed RbPa2Se6 crystal (PBE).

Computed properties:
Uncorrected energy (eV/atom): -5.76
Space-group type: P-3 (147)
Total magnetization (μB per cell): 0.0
V (A^3/atom): 26.55

Lattice parameters (Å, degrees): 4.0245 8.2795 8.2795 120.00 90.00 90.00
Last column: nearest neighbours and their distance in Å.
Fractional coordinates of all 9 atoms:
Rb 0.5000 0.0000 0.0000  6 Se 3.27
Pa 0.2602 0.6667 0.3333  6 Se 2.87
Pa 0.7398 0.3333 0.6667  6 Se 2.87
Se 0.2393 0.5880 0.6832  2 Pa 2.87
Se 0.2393 0.0952 0.4120  2 Pa 2.87
Se 0.2393 0.3168 0.9048  2 Pa 2.87
Se 0.7607 0.4120 0.3168  2 Pa 2.87
Se 0.7607 0.9048 0.5880  2 Pa 2.87
Se 0.7607 0.6832 0.0952  2 Pa 2.87

***

Record 5
Entry from Alexandria: a relaxed Li2Ga3Pt4 crystal (PBE).

Computed properties:
Uncorrected energy (eV/atom): -4.79
Energy relative to the elements (kJ per mole of atoms): -65
Energy above the lowest structure with this stoichiometry (kJ/mol of formula units): 0
Space-group type: P-1 (2)
Total magnetization (μB per cell): 0.0
V (A^3/atom): 14.43

Lattice parameters (Å, degrees): 3.9439 4.6298 8.1271 76.90 89.82 64.64
Last column: nearest neighbours and their distance in Å.
Fractional coordinates of all 9 atoms:
Li 0.3228 0.3547 0.7830  7 Pt 2.62-2.85, 5 Ga 2.77-2.89
Li 0.6772 0.6453 0.2170  7 Pt 2.62-2.85, 5 Ga 2.77-2.89
Ga 0.3418 0.3145 0.4334  6 Pt 2.55-2.77, 1 Ga 2.58, 2 Li 2.77
Ga 0.0000 0.0000 0.0000  8 Pt 2.65-2.74, 4 Li 2.81
Ga 0.6582 0.6855 0.5666  6 Pt 2.55-2.77, 1 Ga 2.58, 2 Li 2.77
Pt 0.6631 0.6742 0.8887  4 Ga 2.61-2.74, 4 Li 2.64-2.76, 4 Pt 2.82-2.87
Pt 0.0282 0.9432 0.3326  6 Ga 2.55-2.77, 3 Li 2.62-2.85
Pt 0.9718 0.0568 0.6674  6 Ga 2.55-2.77, 3 Li 2.62-2.85
Pt 0.3369 0.3258 0.1113  4 Ga 2.61-2.74, 4 Li 2.64-2.76, 4 Pt 2.82-2.87

***

Record 6
Entry from Alexandria: a relaxed KCrAuSe2 crystal (PBE).

Computed properties:
Uncorrected energy (eV/atom): -4.72
Space-group type: Cmme (67)
Total magnetization (μB per cell): 8.0
V (A^3/atom): 26.44

Lattice parameters (Å, degrees): 5.6580 6.5133 7.8782 114.42 90.00 90.00
Last column: nearest neighbours and their distance in Å.
Fractional coordinates of all 10 atoms:
K 0.2069 0.7500 0.5000  4 Se 3.29-3.53
K 0.7931 0.2500 0.5000  4 Se 3.29-3.53
Cr 0.5000 0.7500 0.0000  4 Se 2.56
Cr 0.5000 0.2500 0.0000  4 Se 2.56
Au 0.0000 0.0000 0.0000  2 Se 2.47
Au 0.0000 0.5000 0.0000  2 Se 2.47
Se 0.6816 0.8823 0.7646  1 Au 2.47, 2 Cr 2.56
Se 0.6816 0.6177 0.2354  1 Au 2.47, 2 Cr 2.56
Se 0.3184 0.3823 0.7646  1 Au 2.47, 2 Cr 2.56
Se 0.3184 0.1177 0.2354  1 Au 2.47, 2 Cr 2.56

***

Record 7
Entry from Alexandria: a relaxed Tc2RuPt crystal (PBE).

Computed properties:
Uncorrected energy (eV/atom): -9.05
Energy relative to the elements (kJ per mole of atoms): -4
Energy above the lowest structure with this stoichiometry (kJ/mol of formula units): 43
Space-group type: Cmmm (65)
Total magnetization (μB per cell): 0.0
V (A^3/atom): 14.57

Lattice parameters (Å, degrees): 2.7285 4.7752 4.7752 69.50 90.00 90.00
Last column: nearest neighbours and their distance in Å.
Fractional coordinates of all 4 atoms:
Pt 0.5000 0.0000 0.5000  2 Ru 2.72, 2 Pt 2.73, 8 Tc 2.75
Ru 0.5000 0.5000 0.0000  2 Pt 2.72, 2 Ru 2.73, 8 Tc 2.75
Tc 0.0000 0.0000 0.0000  4 Tc 2.72-2.73, 4 Ru 2.75, 4 Pt 2.75
Tc 0.0000 0.5000 0.5000  4 Tc 2.72-2.73, 4 Pt 2.75, 4 Ru 2.75

***

Record 8
Entry from Alexandria: a relaxed NdSc3O crystal (PBE).

Computed properties:
Uncorrected energy (eV/atom): -6.74
Space-group type: Pm-3m (221)
Total magnetization (μB per cell): 0.0
V (A^3/atom): 20.32

Lattice parameters (Å, degrees): 4.6664 4.6664 4.6664 90.00 90.00 90.00
Last column: nearest neighbours and their distance in Å.
Fractional coordinates of all 5 atoms:
Sc 0.0000 0.5000 0.0000  2 O 2.33
Sc 0.0000 0.0000 0.5000  2 O 2.33
Sc 0.5000 0.0000 0.0000  2 O 2.33
Nd 0.5000 0.5000 0.5000  12 Sc 3.30
O 0.0000 0.0000 0.0000  6 Sc 2.33

***

Record 9
Entry from Alexandria: a relaxed HfNb3Si crystal (PBE).

Computed properties:
Uncorrected energy (eV/atom): -7.38
Energy above the lowest structure with this stoichiometry (kJ/mol of formula units): 759
Space-group type: Pm-3m (221)
Total magnetization (μB per cell): 0.0
V (A^3/atom): 23.24

Lattice parameters (Å, degrees): 4.8798 4.8798 4.8798 90.00 90.00 90.00
Last column: nearest neighbours and their distance in Å.
Fractional coordinates of all 5 atoms:
Nb 0.0000 0.5000 0.0000  2 Hf 2.44
Nb 0.0000 0.0000 0.5000  2 Hf 2.44
Nb 0.5000 0.0000 0.0000  2 Hf 2.44
Hf 0.0000 0.0000 0.0000  6 Nb 2.44
Si 0.5000 0.5000 0.5000  12 Nb 3.45

***

Record 10
Entry from Alexandria: a relaxed Pa2RuRh crystal (PBE).

Computed properties:
Uncorrected energy (eV/atom): -9.50
Energy relative to the elements (kJ per mole of atoms): -57
Space-group type: Pnnm (58)
Total magnetization (μB per cell): 0.0
V (A^3/atom): 22.17

Lattice parameters (Å, degrees): 4.1662 5.7895 7.3546 90.00 90.00 90.00
Last column: nearest neighbours and their distance in Å.
Fractional coordinates of all 8 atoms:
Pa 0.0000 0.2582 0.3333  3 Ru 2.79-2.87, 3 Rh 2.82-2.84
Pa 0.0000 0.7418 0.6667  3 Ru 2.79-2.87, 3 Rh 2.82-2.84
Pa 0.5000 0.2418 0.8333  3 Ru 2.79-2.87, 3 Rh 2.82-2.84
Pa 0.5000 0.7582 0.1667  3 Ru 2.79-2.87, 3 Rh 2.82-2.84
Ru 0.5000 0.5000 0.5000  6 Pa 2.79-2.87, 2 Rh 2.89
Ru 0.0000 0.0000 0.0000  6 Pa 2.79-2.87, 2 Rh 2.89
Rh 0.0000 0.5000 0.0000  6 Pa 2.82-2.84, 2 Ru 2.89
Rh 0.5000 0.0000 0.5000  6 Pa 2.82-2.84, 2 Ru 2.89

***

Record 11
Entry from Alexandria: a relaxed Pm3Pr2Ni2 crystal (PBE).

Computed properties:
Uncorrected energy (eV/atom): -5.23
Energy relative to the elements (kJ per mole of atoms): -17
Space-group type: C2/m (12)
Total magnetization (μB per cell): 0.0
V (A^3/atom): 27.59

Lattice parameters (Å, degrees): 3.7585 6.4430 9.1806 113.62 90.00 106.96
Last column: nearest neighbours and their distance in Å.
Fractional coordinates of all 7 atoms:
Pm 0.5000 0.0000 0.0000  4 Ni 2.92
Pm 0.6160 0.2321 0.4288  3 Ni 2.83-3.16
Pm 0.3840 0.7679 0.5712  3 Ni 2.83-3.16
Pr 0.8341 0.6682 0.1928  2 Ni 2.95
Pr 0.1659 0.3318 0.8072  2 Ni 2.95
Ni 0.8367 0.6733 0.7680  5 Pm 2.83-3.16, 2 Pr 2.95
Ni 0.1633 0.3267 0.2320  5 Pm 2.83-3.16, 2 Pr 2.95

***

Record 12
Entry from Alexandria: a relaxed PaAl11Cu crystal (PBE).

Computed properties:
Uncorrected energy (eV/atom): -4.31
Energy relative to the elements (kJ per mole of atoms): -10
Space-group type: C2/m (12)
Total magnetization (μB per cell): 0.0
V (A^3/atom): 16.86

Lattice parameters (Å, degrees): 5.2997 6.9751 6.8542 82.31 67.26 69.75
Last column: nearest neighbours and their distance in Å.
Fractional coordinates of all 13 atoms:
Pa 0.0000 0.0000 0.0000  18 Al 3.21-3.49, 2 Cu 3.58
Al 0.2906 0.2200 0.2123  1 Cu 2.58, 6 Al 2.66-2.88
Al 0.7094 0.7800 0.7877  1 Cu 2.58, 6 Al 2.66-2.88
Al 0.4971 0.7800 0.2123  1 Cu 2.58, 6 Al 2.66-2.88
Al 0.5029 0.2200 0.7877  1 Cu 2.58, 6 Al 2.66-2.88
Al 0.3509 0.6457 0.6484  8 Al 2.68-2.98, 1 Cu 2.78
Al 0.6491 0.3543 0.3516  8 Al 2.68-2.98, 1 Cu 2.78
Al 0.0006 0.3543 0.6484  8 Al 2.68-2.98, 1 Cu 2.78
Al 0.9994 0.6457 0.3516  8 Al 2.68-2.98, 1 Cu 2.78
Al 0.0000 0.5000 0.0000  2 Cu 2.65, 8 Al 2.68-2.74
Al 0.5000 0.0000 0.5000  10 Al 2.65-2.87
Al 0.0000 0.0000 0.5000  10 Al 2.65-2.87
Cu 0.5000 0.5000 0.0000  10 Al 2.58-2.78